# LaZr2B | the Alexandria database | GGA-PBE | relaxed
data_LaZr2B
_chemical_formula_sum 'La4 Zr8 B4'
_symmetry_space_group_name_H-M 'I -4 2 d'
_symmetry_Int_Tables_number 122
_symmetry_space_group_name_Hall 'I -4 2bw'
_cell_length_a 7.885
_cell_length_b 7.885
_cell_length_c 5.758
_cell_angle_alpha 90.00
_cell_angle_beta 90.00
_cell_angle_gamma 90.00
loop_
_atom_site_label
_atom_site_fract_x
_atom_site_fract_y
_atom_site_fract_z
_atom_site_occupancy
La1 0.000 0.000 0.000 1
Zr1 0.152 0.250 0.625 1
B1 0.000 0.000 0.500 1
# Calculated formation energy in eV per atom: 0.2323
# Fermi-level density of states in states/eV per atom: 1.1145